[1]
# GGA-PBE Tm5Mg2OsRu2, optimized geometry
data_Tm5Mg2OsRu2
_chemical_formula_sum 'Tm10 Mg4 Os2 Ru4'
_symmetry_space_group_name_H-M 'P 4/m b m'
_symmetry_Int_Tables_number 127
_symmetry_space_group_name_Hall '-P 4 2ab'
_cell_length_a 11.573
_cell_length_b 11.573
_cell_length_c 3.442
_cell_angle_alpha 90.00
_cell_angle_beta 90.00
_cell_angle_gamma 90.00
loop_
_atom_site_label
_atom_site_type_symbol
_atom_site_fract_x
_atom_site_fract_y
_atom_site_fract_z
_atom_site_occupancy
Tm1 Tm 0.000 0.500 0.000 1
Tm2 Tm 0.055 0.196 0.000 1
Mg1 Mg 0.189 0.689 0.500 1
Os1 Os 0.000 0.000 0.500 1
Ru1 Ru 0.135 0.365 0.500 1
# Total energy   -5.761 eV/atom
# Spin magnetization   0.000 μB/f.u.

***

[2]
# GGA-PBE SrMgHgBi, optimized geometry
data_SrMgHgBi
_chemical_formula_sum 'Sr4 Mg4 Hg4 Bi4'
_symmetry_space_group_name_H-M 'F -4 3 m'
_symmetry_Int_Tables_number 216
_symmetry_space_group_name_Hall 'F -4 2 3'
_cell_length_a 7.841
_cell_length_b 7.841
_cell_length_c 7.841
_cell_angle_alpha 90.00
_cell_angle_beta 90.00
_cell_angle_gamma 90.00
loop_
_atom_site_label
_atom_site_type_symbol
_atom_site_fract_x
_atom_site_fract_y
_atom_site_fract_z
_atom_site_occupancy
Sr1 Sr 0.000 0.000 0.000 1
Mg1 Mg 0.000 0.000 0.500 1
Hg1 Hg 0.250 0.250 0.750 1
Bi1 Bi 0.250 0.250 0.250 1
# Total energy   -2.305 eV/atom
# Spin magnetization   0.000 μB/f.u.

***

[3]
# GGA-PBE HfPbI, optimized geometry
data_HfPbI
_chemical_formula_sum 'Hf2 Pb2 I2'
_symmetry_space_group_name_H-M 'P -1'
_symmetry_Int_Tables_number 2
_cell_length_a 3.606
_cell_length_b 6.939
_cell_length_c 7.906
_cell_angle_alpha 71.66
_cell_angle_beta 76.86
_cell_angle_gamma 89.94
loop_
_symmetry_equiv_pos_as_xyz
'x,y,z'
'-x,-y,-z'
loop_
_atom_site_label
_atom_site_type_symbol
_atom_site_fract_x
_atom_site_fract_y
_atom_site_fract_z
_atom_site_occupancy
Hf1 Hf 0.241 0.309 0.018 1
Pb1 Pb 0.082 0.422 0.342 1
I1 I 0.361 0.029 0.776 1
# Total energy   -5.172 eV/atom
# Spin magnetization   0.000 μB/f.u.
# Uncorrected formation energy   -101.5 meV/atom

***

[4]
# GGA-PBE PrLuZn, optimized geometry
data_PrLuZn
_chemical_formula_sum 'Pr1 Lu1 Zn1'
_symmetry_space_group_name_H-M 'P -6 m 2'
_symmetry_Int_Tables_number 187
_symmetry_space_group_name_Hall 'P -6 2'
_cell_length_a 4.9876
_cell_length_b 4.9876
_cell_length_c 3.8371
_cell_angle_alpha 90.00
_cell_angle_beta 90.00
_cell_angle_gamma 120.00
loop_
_atom_site_label
_atom_site_type_symbol
_atom_site_fract_x
_atom_site_fract_y
_atom_site_fract_z
_atom_site_occupancy
Pr1 Pr 0.0000 0.0000 0.0000 1
Lu1 Lu 0.3333 0.6667 0.5000 1
Zn1 Zn 0.6667 0.3333 0.5000 1
# Distance to the lowest polymorph of the same formula   0.41 eV per formula unit
# Total energy   -3.583 eV/atom
# Spin magnetization   0.000 μB/f.u.

***

[5]
# GGA-PBE SrSc2Te, optimized geometry
data_SrSc2Te
_chemical_formula_sum 'Sr1 Sc2 Te1'
_symmetry_space_group_name_H-M 'P 4 m m'
_symmetry_Int_Tables_number 99
_cell_length_a 3.826
_cell_length_b 3.826
_cell_length_c 7.997
_cell_angle_alpha 90.00
_cell_angle_beta 90.00
_cell_angle_gamma 90.00
loop_
_symmetry_equiv_pos_as_xyz
'x,y,z'
'-y,x,z'
'-x,-y,z'
'y,-x,z'
'-x,y,z'
'y,x,z'
'x,-y,z'
'-y,-x,z'
loop_
_atom_site_label
_atom_site_type_symbol
_atom_site_fract_x
_atom_site_fract_y
_atom_site_fract_z
_atom_site_occupancy
Sr1 Sr 0.000 0.000 0.000 1
Sc1 Sc 0.000 0.000 0.468 1
Sc2 Sc 0.500 0.500 0.677 1
Te1 Te 0.500 0.500 0.294 1
# Total energy   -4.911 eV/atom
# Spin magnetization   0.000 μB/f.u.
# Uncorrected formation energy   -539.7 meV/atom

***

[6]
# GGA-PBE Ac2GdLu, optimized geometry
data_Ac2GdLu
_chemical_formula_sum 'Ac2 Gd1 Lu1'
_symmetry_space_group_name_H-M 'P 4/m m m'
_symmetry_Int_Tables_number 123
_symmetry_space_group_name_Hall '-P 4 2'
_cell_length_a 5.435
_cell_length_b 5.435
_cell_length_c 5.071
_cell_angle_alpha 90.00
_cell_angle_beta 90.00
_cell_angle_gamma 90.00
loop_
_atom_site_label
_atom_site_type_symbol
_atom_site_fract_x
_atom_site_fract_y
_atom_site_fract_z
_atom_site_occupancy
Ac1 Ac 0.000 0.500 0.000 1
Gd1 Gd 0.000 0.000 0.500 1
Lu1 Lu 0.500 0.500 0.500 1
# Distance to the lowest polymorph of the same formula   0.00 eV per formula unit
# Total energy   -6.655 eV/atom
# Spin magnetization   7.416 μB/f.u.